No. 1
DFT (GGA-PBE) results for an optimized crystal structure of Cs3In4Bi2.

The space group is C2/m (No. 12) and the conventional cell measures 14.560, 5.733 and 10.707 Å, with angles of 90.00, 116.64 and 90.00 degrees. The asymmetric unit holds Cs at (0.000, 0.000, 0.000), Cs at (0.115, 0.500, 0.363), In at (0.102, 0.000, 0.630), In at (0.201, 0.500, 0.067) and Bi at (0.192, 0.500, 0.772).

The value obtained for the magnetic moment is 0.0 μB per formula unit. For the calculated total energy, the calculation gives -45.296 eV for the cell shown. The value obtained for the theoretical density is 5.3 g/cm3. As for the formation energy: -0.15 eV per atom.


No. 2
DFT (GGA-PBE) results for an optimized crystal structure of KEu2Ir.

The space group is P4/mmm (No. 123) and the conventional cell measures 3.624, 3.624 and 10.822 Å, with angles of 90.00, 90.00 and 90.00 degrees. The asymmetric unit holds K at (0.000, 0.000, 0.000), Eu at (0.500, 0.500, 0.347) and Ir at (0.000, 0.000, 0.500).

The value obtained for the magnetic moment is 14.3 μB per formula unit. For the calculated total energy, the calculation gives -31.057 eV for the cell shown. The excess energy over the best structure of this formula in the dataset comes out at 0.00 eV per formula unit. The value obtained for the theoretical density is 6.3 g/cm3. As for the formation energy: -0.14 eV per atom.


No. 3
DFT (GGA-PBE) results for an optimized crystal structure of LiPaTlI6.

The space group is P-31c (No. 163) and the conventional cell measures 7.8053, 7.8053 and 15.4522 Å, with angles of 90.00, 90.00 and 120.00 degrees. The asymmetric unit holds Li at (0.3333, 0.6667, 0.2500), Pa at (0.3333, 0.6667, 0.7500), Tl at (0.0000, 0.0000, 0.0000) and I at (0.0006, 0.3637, 0.1370).

The value obtained for the magnetic moment is 1.0 μB per formula unit. For the calculated total energy, the calculation gives -63.216 eV for the cell shown. The value obtained for the theoretical density is 4.9 g/cm3. Its uncorrected formation energy is -8.53 eV per formula unit.


No. 4
DFT (GGA-PBE) results for an optimized crystal structure of LaHg4Ir.

The space group is F-43m (No. 216) and the conventional cell measures 8.185, 8.185 and 8.185 Å, with angles of 90.00, 90.00 and 90.00 degrees. The asymmetric unit holds La at (0.000, 0.000, 0.000), Hg at (0.124, 0.124, 0.624) and Ir at (0.250, 0.250, 0.250).

The value obtained for the magnetic moment is 0.0 μB per formula unit. For the calculated total energy, the calculation gives -57.853 eV for the cell shown. The value obtained for the theoretical density is 13.7 g/cm3. As for the formation energy: 0.09 eV per atom.


No. 5
DFT (GGA-PBE) results for an optimized crystal structure of LaIr2Os.

The space group is Imm2 (No. 44) and the conventional cell measures 2.875, 4.836 and 10.407 Å, with angles of 90.00, 90.00 and 90.00 degrees. The asymmetric unit holds La at (0.000, 0.000, 0.000), Ir at (0.000, 0.000, 0.504), Ir at (0.000, 0.500, 0.776) and Os at (0.000, 0.500, 0.221).

The value obtained for the magnetic moment is 0.0 μB per formula unit. For the calculated total energy, the calculation gives -66.166 eV for the cell shown. The excess energy over the best structure of this formula in the dataset comes out at 0.62 eV per formula unit. The value obtained for the theoretical density is 16.4 g/cm3. As for the formation energy: 0.20 eV per atom.


No. 6
DFT (GGA-PBE) results for an optimized crystal structure of SrBiSb.

The space group is P3m1 (No. 156) and the conventional cell measures 5.2494, 5.2494 and 4.5197 Å, with angles of 90.00, 90.00 and 120.00 degrees. The asymmetric unit holds Sr at (0.0000, 0.0000, 0.0000), Bi at (0.3333, 0.6667, 0.5403) and Sb at (0.6667, 0.3333, 0.4281).

The value obtained for the magnetic moment is 0.0 μB per formula unit. For the calculated total energy, the calculation gives -11.127 eV for the cell shown. The excess energy over the best structure of this formula in the dataset comes out at 0.46 eV per formula unit. The value obtained for the theoretical density is 6.4 g/cm3. Its uncorrected formation energy is -1.44 eV per formula unit.


No. 7
DFT (GGA-PBE) results for an optimized crystal structure of FeCu2Ir.

The space group is P2/m (No. 10) and the conventional cell measures 2.586, 4.411 and 4.544 Å, with angles of 90.00, 93.28 and 90.00 degrees. The asymmetric unit holds Fe at (0.000, 0.000, 0.000), Cu at (0.229, 0.500, 0.756) and Ir at (0.500, 0.000, 0.500).

The value obtained for the magnetic moment is 3.2 μB per formula unit. For the calculated total energy, the calculation gives -24.919 eV for the cell shown. The excess energy over the best structure of this formula in the dataset comes out at 0.32 eV per formula unit. The value obtained for the theoretical density is 12.0 g/cm3. As for the formation energy: 0.15 eV per atom.


No. 8
DFT (GGA-PBE) results for an optimized crystal structure of TlMoSe2.

The space group is R3m (No. 160, hexagonal axes) and the conventional cell measures 3.2236, 3.2236 and 30.3708 Å, with angles of 90.00, 90.00 and 120.00 degrees. The asymmetric unit holds Tl at (0.0000, 0.0000, 0.0000), Mo at (0.0000, 0.0000, 0.7453), Se at (0.0000, 0.0000, 0.2525) and Se at (0.0000, 0.0000, 0.4671).

The value obtained for the magnetic moment is 0.0 μB per formula unit. For the calculated total energy, the calculation gives -59.283 eV for the cell shown. The value obtained for the theoretical density is 8.4 g/cm3. Its uncorrected formation energy is 0.41 eV per formula unit.


No. 9
DFT (GGA-PBE) results for an optimized crystal structure of K3MnCo.

The space group is Pm-3m (No. 221) and the conventional cell measures 6.220, 6.220 and 6.220 Å, with angles of 90.00, 90.00 and 90.00 degrees. The asymmetric unit holds K at (0.000, 0.000, 0.500), Mn at (0.500, 0.500, 0.500) and Co at (0.000, 0.000, 0.000).

The value obtained for the magnetic moment is 5.9 μB per formula unit. For the calculated total energy, the calculation gives -13.670 eV for the cell shown. The value obtained for the theoretical density is 1.6 g/cm3. As for the formation energy: 1.18 eV per atom.


No. 10
DFT (GGA-PBE) results for an optimized crystal structure of Ge2Au2Se.

The space group is P4/mbm (No. 127) and the conventional cell measures 7.389, 7.389 and 3.711 Å, with angles of 90.00, 90.00 and 90.00 degrees. The asymmetric unit holds Ge at (0.159, 0.341, 0.000), Au at (0.139, 0.639, 0.500) and Se at (0.000, 0.000, 0.500).

The value obtained for the magnetic moment is 0.0 μB per formula unit. For the calculated total energy, the calculation gives -37.084 eV for the cell shown. The excess energy over the best structure of this formula in the dataset comes out at 0.01 eV per formula unit. The value obtained for the theoretical density is 10.1 g/cm3. Its uncorrected formation energy is 0.73 eV per formula unit.


No. 11
DFT (GGA-PBE) results for an optimized crystal structure of NbHgO.

The space group is P-3m1 (No. 164) and the conventional cell measures 3.5846, 3.5846 and 10.5513 Å, with angles of 90.00, 90.00 and 120.00 degrees. The asymmetric unit holds Nb at (0.3333, 0.6667, 0.4135), Hg at (0.3333, 0.6667, 0.1244) and O at (0.3333, 0.6667, 0.6234).

The value obtained for the magnetic moment is 0.0 μB per formula unit. For the calculated total energy, the calculation gives -36.295 eV for the cell shown. The value obtained for the theoretical density is 8.8 g/cm3. Its uncorrected formation energy is -2.82 eV per formula unit.


No. 12
DFT (GGA-PBE) results for an optimized crystal structure of Cs2MgPdO4.

The space group is Fddd (No. 70, origin choice 2) and the conventional cell measures 5.725, 12.648 and 21.344 Å, with angles of 90.00, 90.00 and 90.00 degrees. The asymmetric unit holds Cs at (0.125, 0.125, 0.303), Mg at (0.125, 0.125, 0.125), Pd at (0.125, 0.125, 0.625) and O at (0.122, 0.291, 0.413).

The value obtained for the magnetic moment is 0.0 μB per formula unit. For the calculated total energy, the calculation gives -298.607 eV for the cell shown. The value obtained for the theoretical density is 4.0 g/cm3. Its uncorrected formation energy is -9.00 eV per formula unit.


Q: Among the records above, which one has the lowest theoretical density?
A: K3MnCo